VASP calculation (PBE) on a geometry-optimized Tb4Sm19Er6 structure.

POSCAR file:
```
Tb4Sm19Er6
1.0
10.271 0.000 -3.631
-5.135 8.895 -3.631
0.000 0.000 10.894
Tb Sm Er
4 19 6
Direct
0.000 0.000 0.640 Tb
0.000 0.640 0.000 Tb
0.360 0.360 0.360 Tb
0.640 0.000 0.000 Tb
0.739 0.000 0.739 Sm
0.261 0.000 0.261 Sm
0.261 0.261 0.000 Sm
0.739 0.739 0.000 Sm
0.000 0.739 0.739 Sm
0.000 0.261 0.261 Sm
0.000 0.000 0.000 Sm
0.202 0.218 0.543 Sm
0.798 0.342 0.016 Sm
0.675 0.658 0.457 Sm
0.016 0.798 0.342 Sm
0.325 0.782 0.984 Sm
0.543 0.202 0.218 Sm
0.984 0.325 0.782 Sm
0.457 0.675 0.658 Sm
0.782 0.984 0.325 Sm
0.342 0.016 0.798 Sm
0.218 0.543 0.202 Sm
0.658 0.457 0.675 Sm
0.375 0.500 0.875 Er
0.625 0.500 0.125 Er
0.125 0.625 0.500 Er
0.875 0.375 0.500 Er
0.500 0.875 0.375 Er
0.500 0.125 0.625 Er
```

Calculated values
As for the formation energy: 10.924 eV/f.u. The calculation puts the density of states at the Fermi level at 43.178 states/eV per cell.



VASP calculation (PBE) on a geometry-optimized Tb4Sm2Er5 structure.

POSCAR file:
```
Tb4Sm2Er5
1.0
3.462 0.538 -1.036
1.241 8.899 -4.149
-1.367 -2.980 13.261
Tb Sm Er
4 2 5
Direct
0.591 0.425 0.344 Tb
0.734 0.351 0.057 Tb
0.409 0.575 0.656 Tb
0.266 0.649 0.943 Tb
0.881 0.275 0.771 Sm
0.119 0.725 0.229 Sm
0.313 0.043 0.237 Er
0.687 0.957 0.763 Er
0.920 0.827 0.498 Er
0.500 0.000 0.000 Er
0.080 0.173 0.502 Er
```

Calculated values
As for the formation energy: 0.661 eV/f.u. The calculation puts the density of states at the Fermi level at 16.150 states/eV per cell. The value obtained for the energy relative to the lowest polymorph listed for this composition is 0 meV per atom.



VASP calculation (PBE) on a geometry-optimized Tb2SmEr4 structure.

POSCAR file:
```
Tb2SmEr4
1.0
-1.161 2.724 -1.890
-5.084 -7.737 -1.509
-2.055 5.578 6.048
Tb Sm Er
2 1 4
Direct
0.360 0.430 0.140 Tb
0.640 0.570 0.860 Tb
0.000 0.000 0.000 Sm
0.411 0.706 0.589 Er
0.807 0.163 0.713 Er
0.589 0.294 0.411 Er
0.193 0.837 0.287 Er
```

Calculated values
As for the formation energy: 0.264 eV/f.u. The calculation puts the density of states at the Fermi level at 10.469 states/eV per cell. The value obtained for the energy relative to the lowest polymorph listed for this composition is 0 meV per atom.



VASP calculation (PBE) on a geometry-optimized Tb8Sm6Er structure.

POSCAR file:
```
Tb8Sm6Er
1.0
-5.184 2.010 -7.220
1.652 -3.960 -8.039
-5.479 -5.803 -3.432
Tb Sm Er
8 6 1
Direct
0.254 0.279 0.578 Tb
0.721 0.111 0.422 Tb
0.111 0.746 0.422 Tb
0.577 0.577 0.269 Tb
0.423 0.423 0.731 Tb
0.889 0.254 0.578 Tb
0.279 0.889 0.578 Tb
0.746 0.721 0.422 Tb
0.461 0.895 0.874 Sm
0.105 0.230 0.126 Sm
0.230 0.539 0.126 Sm
0.770 0.461 0.874 Sm
0.895 0.770 0.874 Sm
0.539 0.105 0.126 Sm
0.000 0.000 0.000 Er
```

Calculated values
As for the formation energy: 1.789 eV/f.u. The calculation puts the density of states at the Fermi level at 21.508 states/eV per cell. The value obtained for the energy relative to the lowest polymorph listed for this composition is 0 meV per atom.



VASP calculation (PBE) on a geometry-optimized TbSmEr2 structure.

POSCAR file:
```
TbSmEr2
1.0
3.571 0.000 0.000
1.786 3.093 0.000
1.786 1.031 11.476
Tb Sm Er
1 1 2
Direct
0.666 0.666 0.001 Tb
0.501 0.501 0.498 Sm
0.082 0.082 0.753 Er
0.251 0.251 0.248 Er
```

Calculated values
As for the formation energy: 0.061 eV/f.u. The calculation puts the density of states at the Fermi level at 5.694 states/eV per cell. The value obtained for the energy relative to the lowest polymorph listed for this composition is 0 meV per atom.



VASP calculation (PBE) on a geometry-optimized Tb2Sm7Er3 structure.

POSCAR file:
```
Tb2Sm7Er3
1.0
-1.709 -3.104 0.046
5.600 -3.084 -0.112
4.367 -2.150 17.306
Tb Sm Er
2 7 3
Direct
0.500 0.612 0.329 Tb
0.500 0.388 0.671 Tb
0.500 0.239 0.504 Sm
0.500 0.761 0.496 Sm
0.000 0.559 0.166 Sm
0.000 0.000 0.000 Sm
0.000 0.441 0.834 Sm
0.500 0.945 0.829 Sm
0.500 0.055 0.171 Sm
0.500 0.500 0.000 Er
0.000 0.112 0.341 Er
0.000 0.888 0.659 Er
```

Calculated values
As for the formation energy: 0.847 eV/f.u. The calculation puts the density of states at the Fermi level at 17.599 states/eV per cell. The value obtained for the energy relative to the lowest polymorph listed for this composition is 0 meV per atom.



VASP calculation (PBE) on a geometry-optimized Tb3Sm2Er8 structure.

POSCAR file:
```
Tb3Sm2Er8
1.0
5.474 0.000 0.786
0.000 7.578 -0.002
-1.457 -3.792 10.134
Tb Sm Er
3 2 8
Direct
0.500 0.000 0.000 Tb
0.000 0.287 0.000 Tb
0.000 0.713 0.000 Tb
0.500 0.241 0.482 Sm
0.500 0.759 0.518 Sm
0.000 0.664 0.327 Er
0.000 0.336 0.673 Er
0.000 0.130 0.261 Er
0.000 0.870 0.739 Er
0.500 0.605 0.784 Er
0.500 0.179 0.784 Er
0.500 0.821 0.216 Er
0.500 0.395 0.216 Er
```

Calculated values
As for the formation energy: 3.229 eV/f.u. The calculation puts the density of states at the Fermi level at 22.871 states/eV per cell.



VASP calculation (PBE) on a geometry-optimized Tb3SmEr2 structure.

POSCAR file:
```
Tb3SmEr2
1.0
6.920 -1.161 -1.446
-4.081 9.304 -0.408
-2.162 0.724 6.786
Tb Sm Er
6 2 4
Direct
0.251 0.001 0.751 Tb
0.749 0.999 0.249 Tb
0.804 0.664 0.861 Tb
0.195 0.335 0.639 Tb
0.805 0.665 0.361 Tb
0.196 0.336 0.139 Tb
0.252 0.001 0.250 Sm
0.748 0.999 0.750 Sm
0.303 0.665 0.360 Er
0.303 0.665 0.861 Er
0.697 0.335 0.139 Er
0.697 0.335 0.640 Er
```

Calculated values
As for the formation energy: -0.024 eV/f.u. The calculation puts the density of states at the Fermi level at 14.569 states/eV per cell. The value obtained for the energy relative to the lowest polymorph listed for this composition is 0 meV per atom.



VASP calculation (PBE) on a geometry-optimized TbSm4Er3Te8 structure.

POSCAR file:
```
TbSm4Er3Te8
1.0
8.697 0.000 0.000
0.000 8.860 0.109
-4.349 -4.344 6.153
Tb Sm Er Te
1 4 3 8
Direct
0.000 0.500 0.000 Tb
0.500 0.000 0.000 Sm
0.500 0.000 0.500 Sm
0.000 0.000 0.000 Sm
0.000 0.000 0.500 Sm
0.500 0.500 0.000 Er
0.500 0.500 0.500 Er
0.000 0.500 0.500 Er
0.248 0.740 0.992 Te
0.248 0.740 0.496 Te
0.254 0.261 0.507 Te
0.744 0.740 0.992 Te
0.256 0.260 0.008 Te
0.746 0.739 0.493 Te
0.752 0.260 0.504 Te
0.752 0.260 0.008 Te
```

Calculated values
Its uncorrected formation energy is -1309.3 meV per atom. The calculation puts the density of states at the Fermi level at 11.499 states/eV per cell.



VASP calculation (PBE) on a geometry-optimized Tb3Sm3ErTe8 structure.

POSCAR file:
```
Tb3Sm3ErTe8
1.0
8.768 -0.001 0.001
-4.385 7.595 -0.026
0.002 -5.037 7.200
Tb Sm Er Te
3 3 1 8
Direct
0.500 0.000 0.500 Tb
0.500 0.500 0.500 Tb
0.000 0.500 0.500 Tb
0.000 0.000 0.000 Sm
0.000 0.500 0.000 Sm
0.500 0.500 0.000 Sm
0.000 0.000 0.500 Er
0.252 0.504 0.256 Te
0.748 0.496 0.744 Te
0.748 0.497 0.252 Te
0.252 0.503 0.748 Te
0.748 0.004 0.252 Te
0.252 0.996 0.748 Te
0.255 0.004 0.252 Te
0.745 0.996 0.748 Te
```

Calculated values
Its uncorrected formation energy is -1398.0 meV per atom. The calculation puts the density of states at the Fermi level at 6.927 states/eV per cell.



VASP calculation (PBE) on a geometry-optimized TbSm2Er3Te6 structure.

POSCAR file:
```
TbSm2Er3Te6
1.0
-0.199 2.127 -3.771
-4.997 -6.432 -3.365
-6.177 5.076 5.680
Tb Sm Er Te
1 2 3 6
Direct
0.500 0.000 0.000 Tb
0.832 0.664 0.663 Sm
0.168 0.336 0.337 Sm
0.500 0.500 0.000 Er
0.831 0.166 0.662 Er
0.169 0.834 0.338 Er
0.333 0.924 0.667 Te
0.663 0.590 0.327 Te
0.667 0.076 0.333 Te
0.997 0.252 0.994 Te
0.003 0.748 0.006 Te
0.337 0.410 0.673 Te
```

Calculated values
Its uncorrected formation energy is -1287.7 meV per atom. The calculation puts the density of states at the Fermi level at 6.177 states/eV per cell.



VASP calculation (PBE) on a geometry-optimized Tb3Sm4ErTe8 structure.

POSCAR file:
```
Tb3Sm4ErTe8
1.0
-2.313 8.073 -2.506
-5.095 -3.435 -6.364
-1.161 -2.508 8.316
Tb Sm Er Te
3 4 1 8
Direct
0.500 0.500 0.000 Tb
0.500 0.500 0.500 Tb
0.000 0.500 0.500 Tb
0.500 0.000 0.000 Sm
0.500 0.000 0.500 Sm
0.000 0.000 0.000 Sm
0.000 0.000 0.500 Sm
0.000 0.500 0.000 Er
0.246 0.742 0.996 Te
0.246 0.742 0.492 Te
0.252 0.256 0.504 Te
0.750 0.742 0.996 Te
0.250 0.258 0.004 Te
0.748 0.744 0.496 Te
0.754 0.258 0.508 Te
0.754 0.258 0.004 Te
```

Calculated values
Its uncorrected formation energy is -1331.9 meV per atom. The calculation puts the density of states at the Fermi level at 12.135 states/eV per cell.



VASP calculation (PBE) on a geometry-optimized TbSmEr2Te6 structure.

POSCAR file:
```
TbSmEr2Te6
1.0
7.715 0.000 0.000
3.857 6.682 0.000
3.857 2.227 7.023
Tb Sm Er Te
1 1 2 6
Direct
0.322 0.322 0.034 Tb
0.821 0.821 0.538 Sm
0.509 0.509 0.474 Er
0.008 0.008 0.977 Er
0.606 0.236 0.248 Te
0.236 0.910 0.248 Te
0.910 0.606 0.248 Te
0.404 0.734 0.750 Te
0.734 0.112 0.750 Te
0.112 0.404 0.750 Te
```

Calculated values
Its uncorrected formation energy is -1357.3 meV per atom.



VASP calculation (PBE) on a geometry-optimized TbSm3Er2Te6 structure.

POSCAR file:
```
TbSm3Er2Te6
1.0
4.354 0.000 0.000
0.000 8.854 0.243
-2.177 -2.628 9.241
Tb Sm Er Te
1 3 2 6
Direct
0.500 0.000 0.000 Tb
0.500 0.500 0.000 Sm
0.835 0.168 0.671 Sm
0.165 0.832 0.329 Sm
0.834 0.669 0.669 Er
0.166 0.331 0.331 Er
0.334 0.910 0.667 Te
0.670 0.577 0.339 Te
0.666 0.090 0.333 Te
0.003 0.248 0.006 Te
0.997 0.752 0.994 Te
0.330 0.423 0.661 Te
```

Calculated values
Its uncorrected formation energy is -1316.9 meV per atom. The calculation puts the density of states at the Fermi level at 6.219 states/eV per cell.



VASP calculation (PBE) on a geometry-optimized Tb2SmErTe6 structure.

POSCAR file:
```
Tb2SmErTe6
1.0
-5.350 5.146 -2.175
-6.856 0.197 3.578
-1.504 6.416 5.126
Tb Sm Er Te
2 1 1 6
Direct
0.510 0.510 0.470 Tb
0.009 0.009 0.974 Tb
0.822 0.822 0.534 Sm
0.323 0.324 0.030 Er
0.599 0.232 0.249 Te
0.232 0.920 0.249 Te
0.920 0.599 0.249 Te
0.411 0.727 0.753 Te
0.727 0.109 0.753 Te
0.109 0.411 0.753 Te
```

Calculated values
Its uncorrected formation energy is -1363.9 meV per atom.



VASP calculation (PBE) on a geometry-optimized Tb3SmEr2Te6 structure.

POSCAR file:
```
Tb3SmEr2Te6
1.0
-0.846 -1.805 -3.856
5.064 -6.863 2.100
-8.149 -1.761 5.056
Tb Sm Er Te
3 1 2 6
Direct
0.500 0.500 0.000 Tb
0.838 0.167 0.677 Tb
0.162 0.833 0.323 Tb
0.500 0.000 0.000 Sm
0.836 0.670 0.672 Er
0.164 0.330 0.328 Er
0.329 0.911 0.659 Te
0.669 0.581 0.338 Te
0.671 0.089 0.341 Te
0.002 0.256 0.005 Te
0.998 0.744 0.995 Te
0.331 0.419 0.662 Te
```

Calculated values
Its uncorrected formation energy is -1290.0 meV per atom. The calculation puts the density of states at the Fermi level at 6.678 states/eV per cell.



VASP calculation (PBE) on a geometry-optimized Tb2Sm3ErTe6 structure.

POSCAR file:
```
Tb2Sm3ErTe6
1.0
-0.395 3.024 -3.129
-6.467 -4.744 -3.770
-4.440 4.241 7.709
Tb Sm Er Te
2 3 1 6
Direct
0.832 0.665 0.664 Tb
0.168 0.335 0.336 Tb
0.500 0.500 0.000 Sm
0.831 0.167 0.662 Sm
0.169 0.833 0.338 Sm
0.500 0.000 0.000 Er
0.337 0.914 0.674 Te
0.667 0.580 0.335 Te
0.663 0.086 0.326 Te
0.001 0.243 0.002 Te
0.999 0.757 0.998 Te
0.333 0.420 0.665 Te
```

Calculated values
Its uncorrected formation energy is -1332.5 meV per atom. The calculation puts the density of states at the Fermi level at 6.297 states/eV per cell.



VASP calculation (PBE) on a geometry-optimized TbSm2ErTe6 structure.

POSCAR file:
```
TbSm2ErTe6
1.0
-5.125 1.554 -5.634
-6.982 -3.415 0.048
-6.622 4.724 1.966
Tb Sm Er Te
1 2 1 6
Direct
0.824 0.824 0.529 Tb
0.512 0.512 0.465 Sm
0.011 0.011 0.966 Sm
0.324 0.324 0.028 Er
0.596 0.222 0.253 Te
0.222 0.928 0.253 Te
0.928 0.596 0.253 Te
0.425 0.720 0.756 Te
0.720 0.099 0.756 Te
0.099 0.425 0.756 Te
```

Calculated values
Its uncorrected formation energy is -1366.1 meV per atom.



VASP calculation (PBE) on a geometry-optimized Tb3SmEr3Te8 structure.

POSCAR file:
```
Tb3SmEr3Te8
1.0
-2.224 -2.330 -8.050
0.029 -5.888 6.365
-6.037 6.214 -0.130
Tb Sm Er Te
3 1 3 8
Direct
0.000 0.000 0.000 Tb
0.000 0.500 0.000 Tb
0.500 0.500 0.000 Tb
0.000 0.000 0.500 Sm
0.500 0.000 0.500 Er
0.500 0.500 0.500 Er
0.000 0.500 0.500 Er
0.251 0.503 0.254 Te
0.749 0.497 0.746 Te
0.740 0.481 0.243 Te
0.260 0.519 0.757 Te
0.740 0.003 0.243 Te
0.260 0.997 0.757 Te
0.263 0.003 0.243 Te
0.737 0.997 0.757 Te
```

Calculated values
Its uncorrected formation energy is -1357.5 meV per atom. The calculation puts the density of states at the Fermi level at 6.724 states/eV per cell.



VASP calculation (PBE) on a geometry-optimized Tb3Sm2ErTe6 structure.

POSCAR file:
```
Tb3Sm2ErTe6
1.0
4.361 0.000 0.000
0.000 8.816 0.346
-2.181 -2.510 9.225
Tb Sm Er Te
3 2 1 6
Direct
0.500 0.500 0.000 Tb
0.828 0.166 0.656 Tb
0.172 0.834 0.344 Tb
0.830 0.663 0.660 Sm
0.170 0.337 0.340 Sm
0.500 0.000 0.000 Er
0.337 0.922 0.674 Te
0.664 0.586 0.327 Te
0.663 0.078 0.326 Te
0.998 0.245 0.995 Te
0.002 0.755 0.005 Te
0.336 0.414 0.673 Te
```

Calculated values
Its uncorrected formation energy is -1319.0 meV per atom. The calculation puts the density of states at the Fermi level at 6.705 states/eV per cell.



Ordered DFT total energy results: -4.298, -4.556, -4.567, -4.542, -4.603, -4.595, -4.354, -4.627, -5.205, -5.248, -5.172, -5.236, -5.090, -5.214, -5.103, -5.172, -5.235, -5.114, -5.186, -5.214; unit eV per atom.
Ordered ρ results: 7.5, 8.4, 8.6, 7.8, 8.4, 7.9, 8.2, 8.4, 7.9, 7.3, 8.1, 7.8, 6.5, 7.9, 6.4, 8.1, 7.8, 6.3, 7.8, 7.9; unit g/cm³.